[1]
Computed, not measured: SmPaHN2 after structural relaxation at the GGA-PBE level of DFT.

Results
The value obtained for the spin magnetization is 0.0 μB/cell. The total energy comes out at -8.195 eV/atom. As for the density: 9.94 g/cm³.

Structure (CIF):
```
data_SmPaHN2
_chemical_formula_sum 'Sm2 Pa2 H2 N4'
_cell_length_a 3.4826
_cell_length_b 3.4826
_cell_length_c 11.3054
_cell_angle_alpha 90.00
_cell_angle_beta 90.00
_cell_angle_gamma 90.00
_space_group_name_H-M_alt 'P 1'
_space_group_IT_number 1
loop_
_space_group_symop_operation_xyz
'x,y,z'
loop_
_atom_site_label
_atom_site_type_symbol
_atom_site_fract_x
_atom_site_fract_y
_atom_site_fract_z
Sm1 Sm 0.2500 0.2500 0.1373
Sm2 Sm 0.7500 0.7500 0.8627
Pa1 Pa 0.2500 0.2500 0.6157
Pa2 Pa 0.7500 0.7500 0.3843
H1 H 0.2500 0.7500 0.0000
H2 H 0.7500 0.2500 0.0000
N1 N 0.2500 0.2500 0.3831
N2 N 0.2500 0.2500 0.8005
N3 N 0.7500 0.7500 0.1995
N4 N 0.7500 0.7500 0.6169
```

[2]
Computed, not measured: TbPaHN2 after structural relaxation at the GGA-PBE level of DFT.

Results
The value obtained for the spin magnetization is 0.0 μB/cell. The total energy comes out at -8.208 eV/atom. As for the density: 10.49 g/cm³.

Structure (CIF):
```
data_TbPaHN2
_chemical_formula_sum 'Tb2 Pa2 H2 N4'
_cell_length_a 3.4491
_cell_length_b 3.4491
_cell_length_c 11.1452
_cell_angle_alpha 90.00
_cell_angle_beta 90.00
_cell_angle_gamma 90.00
_space_group_name_H-M_alt 'P 1'
_space_group_IT_number 1
loop_
_space_group_symop_operation_xyz
'x,y,z'
loop_
_atom_site_label
_atom_site_type_symbol
_atom_site_fract_x
_atom_site_fract_y
_atom_site_fract_z
Tb1 Tb 0.2500 0.2500 0.1341
Tb2 Tb 0.7500 0.7500 0.8659
Pa1 Pa 0.2500 0.2500 0.6182
Pa2 Pa 0.7500 0.7500 0.3818
H1 H 0.2500 0.7500 0.0000
H2 H 0.7500 0.2500 0.0000
N1 N 0.2500 0.2500 0.3798
N2 N 0.2500 0.2500 0.8058
N3 N 0.7500 0.7500 0.1942
N4 N 0.7500 0.7500 0.6202
```

[3]
Computed, not measured: Pa2Te2HN after structural relaxation at the GGA-PBE level of DFT.

Results
The value obtained for the spin magnetization is 3.7 μB/cell. The total energy comes out at -7.257 eV/atom. As for the density: 10.00 g/cm³.

Structure (CIF):
```
data_Pa2Te2HN
_chemical_formula_sum 'Pa4 Te4 H2 N2'
_cell_length_a 8.4429
_cell_length_b 8.4429
_cell_length_c 8.4429
_cell_angle_alpha 140.41
_cell_angle_beta 57.37
_cell_angle_gamma 140.23
_space_group_name_H-M_alt 'P 1'
_space_group_IT_number 1
loop_
_space_group_symop_operation_xyz
'x,y,z'
loop_
_atom_site_label
_atom_site_type_symbol
_atom_site_fract_x
_atom_site_fract_y
_atom_site_fract_z
Pa1 Pa 0.0821 0.2318 0.3139
Pa2 Pa 0.4179 0.7318 0.1497
Pa3 Pa 0.5821 0.2682 0.8503
Pa4 Pa 0.9179 0.7682 0.6861
Te1 Te 0.1781 0.7342 0.9123
Te2 Te 0.3219 0.2342 0.5560
Te3 Te 0.6781 0.7658 0.4440
Te4 Te 0.8219 0.2658 0.0877
H1 H 0.2500 0.7500 0.5000
H2 H 0.7500 0.2500 0.5000
N1 N 0.2500 0.2500 0.0000
N2 N 0.7500 0.7500 0.0000
```

[4]
Computed, not measured: HPbN2 after structural relaxation at the GGA-PBE level of DFT.

Results
The value obtained for the spin magnetization is 0.0 μB/cell. The total energy comes out at -4.397 eV/atom. As for the density: 8.73 g/cm³.

Structure (CIF):
```
data_HPbN2
_chemical_formula_sum 'H2 Pb2 N4'
_cell_length_a 6.1114
_cell_length_b 6.1114
_cell_length_c 6.1114
_cell_angle_alpha 140.96
_cell_angle_beta 140.96
_cell_angle_gamma 56.40
_space_group_name_H-M_alt 'P 1'
_space_group_IT_number 1
loop_
_space_group_symop_operation_xyz
'x,y,z'
loop_
_atom_site_label
_atom_site_type_symbol
_atom_site_fract_x
_atom_site_fract_y
_atom_site_fract_z
H1 H 0.0000 0.0000 0.0000
H2 H 0.7500 0.2500 0.5000
Pb1 Pb 0.2500 0.7500 0.5000
Pb2 Pb 0.5000 0.5000 0.0000
N1 N 0.3750 0.2040 0.3290
N2 N 0.7960 0.1250 0.1710
N3 N 0.8750 0.0460 0.6710
N4 N 0.9540 0.6250 0.8290
```